# Na2DyTiS4 (PBE-GGA, optimized geometry)
data_Na2DyTiS4
_cell_length_a 6.585
_cell_length_b 3.787
_cell_length_c 7.033
_cell_angle_alpha 90.00
_cell_angle_beta 108.13
_cell_angle_gamma 90.00
_symmetry_space_group_name_H-M 'P 1 2/m 1'
_symmetry_Int_Tables_number 10
_symmetry_space_group_name_Hall '-P 2y'
loop_
_atom_site_label
_atom_site_type_symbol
_atom_site_fract_x
_atom_site_fract_y
_atom_site_fract_z
Na1 Na 0.000 0.000 0.000
Na2 Na 0.500 0.500 0.000
Dy1 Dy 0.000 0.500 0.500
Ti1 Ti 0.500 0.000 0.500
S1 S 0.261 0.000 0.724
S2 S 0.280 0.500 0.286
# * total magnetic moment: 1.009 Bohr magnetons per cell
# * total energy: -0.4045 Ry per atom
# * ΔE_f (raw): -1548 meV per atom

---

# Na4Dy3TiS8 (PBE-GGA, optimized geometry)
data_Na4Dy3TiS8
_cell_length_a 7.7895
_cell_length_b 7.7895
_cell_length_c 20.0299
_cell_angle_alpha 90.00
_cell_angle_beta 90.00
_cell_angle_gamma 120.00
_symmetry_space_group_name_H-M 'R -3 m'
_symmetry_Int_Tables_number 166
_symmetry_space_group_name_Hall '-R 3 2"'
loop_
_atom_site_label
_atom_site_type_symbol
_atom_site_fract_x
_atom_site_fract_y
_atom_site_fract_z
Na1 Na 0.0000 0.0000 0.0000
Na2 Na 0.0000 0.5000 0.0000
Dy1 Dy 0.0000 0.5000 0.5000
Ti1 Ti 0.0000 0.0000 0.5000
S1 S 0.0000 0.0000 0.2434
S2 S 0.0183 0.5092 0.2400
# * total magnetic moment: 3.010 Bohr magnetons per cell
# * total energy: -0.3996 Ry per atom
# * ΔE_f (raw): -1686 meV per atom

---

# Na3Dy2TiS6 (PBE-GGA, optimized geometry)
data_Na3Dy2TiS6
_cell_length_a 6.694
_cell_length_b 11.588
_cell_length_c 7.040
_cell_angle_alpha 90.00
_cell_angle_beta 108.48
_cell_angle_gamma 90.00
_symmetry_space_group_name_H-M 'C 1 2/m 1'
_symmetry_Int_Tables_number 12
_symmetry_space_group_name_Hall '-C 2y'
loop_
_atom_site_label
_atom_site_type_symbol
_atom_site_fract_x
_atom_site_fract_y
_atom_site_fract_z
Na1 Na 0.000 0.000 0.000
Na2 Na 0.000 0.331 0.000
Dy1 Dy 0.000 0.167 0.500
Ti1 Ti 0.000 0.500 0.500
S1 S 0.231 0.343 0.722
S2 S 0.238 0.500 0.282
# * total magnetic moment: 2.011 Bohr magnetons per cell
# * total energy: -0.4012 Ry per atom
# * ΔE_f (raw): -1640 meV per atom

---

# Na2DyTlS4 (PBE-GGA, optimized geometry)
data_Na2DyTlS4
_cell_length_a 6.905
_cell_length_b 3.949
_cell_length_c 7.160
_cell_angle_alpha 90.00
_cell_angle_beta 109.44
_cell_angle_gamma 90.00
_symmetry_space_group_name_H-M 'P 1 2/m 1'
_symmetry_Int_Tables_number 10
_symmetry_space_group_name_Hall '-P 2y'
loop_
_atom_site_label
_atom_site_type_symbol
_atom_site_fract_x
_atom_site_fract_y
_atom_site_fract_z
Na1 Na 0.000 0.000 0.000
Na2 Na 0.500 0.500 0.000
Dy1 Dy 0.000 0.500 0.500
Tl1 Tl 0.500 0.000 0.500
S1 S 0.234 0.000 0.734
S2 S 0.262 0.500 0.275
# * total magnetic moment: 0.000 Bohr magnetons per cell
# * total energy: -0.3252 Ry per atom
# * ΔE_f (raw): -1161 meV per atom

---

# NaDyTm4S8 (PBE-GGA, optimized geometry)
data_NaDyTm4S8
_cell_length_a 7.9967
_cell_length_b 7.9967
_cell_length_c 19.7130
_cell_angle_alpha 90.00
_cell_angle_beta 90.00
_cell_angle_gamma 120.00
_symmetry_space_group_name_H-M 'R 3 m'
_symmetry_Int_Tables_number 160
_symmetry_space_group_name_Hall 'R 3 -2"'
loop_
_atom_site_label
_atom_site_type_symbol
_atom_site_fract_x
_atom_site_fract_y
_atom_site_fract_z
Na1 Na 0.0000 0.0000 0.0000
Dy1 Dy 0.0000 0.0000 0.3696
Tm1 Tm 0.0000 0.0000 0.7488
Tm2 Tm 0.0123 0.5061 0.8757
S1 S 0.0000 0.0000 0.1357
S2 S 0.0000 0.0000 0.6161
S3 S 0.0193 0.5097 0.1278
S4 S 0.1808 0.3616 0.9526
# * total magnetic moment: 0.000 Bohr magnetons per cell
# * total energy: -0.4423 Ry per atom
# * ΔE_f (raw): -1958 meV per atom

---

# Na2DyTmS4 (PBE-GGA, optimized geometry)
data_Na2DyTmS4
_cell_length_a 6.853
_cell_length_b 3.957
_cell_length_c 7.062
_cell_angle_alpha 90.00
_cell_angle_beta 108.88
_cell_angle_gamma 90.00
_symmetry_space_group_name_H-M 'P 1 2/m 1'
_symmetry_Int_Tables_number 10
_symmetry_space_group_name_Hall '-P 2y'
loop_
_atom_site_label
_atom_site_type_symbol
_atom_site_fract_x
_atom_site_fract_y
_atom_site_fract_z
Na1 Na 0.000 0.000 0.000
Na2 Na 0.500 0.500 0.000
Dy1 Dy 0.000 0.500 0.500
Tm1 Tm 0.500 0.000 0.500
S1 S 0.245 0.000 0.726
S2 S 0.261 0.500 0.275
# * total magnetic moment: 0.000 Bohr magnetons per cell
# * total energy: -0.3954 Ry per atom
# * ΔE_f (raw): -1852 meV per atom

---

# Na3DyTm2S6 (PBE-GGA, optimized geometry)
data_Na3DyTm2S6
_cell_length_a 6.839
_cell_length_b 11.846
_cell_length_c 7.056
_cell_angle_alpha 90.00
_cell_angle_beta 108.85
_cell_angle_gamma 90.00
_symmetry_space_group_name_H-M 'C 1 2/m 1'
_symmetry_Int_Tables_number 12
_symmetry_space_group_name_Hall '-C 2y'
loop_
_atom_site_label
_atom_site_type_symbol
_atom_site_fract_x
_atom_site_fract_y
_atom_site_fract_z
Na1 Na 0.000 0.000 0.000
Na2 Na 0.000 0.334 0.000
Dy1 Dy 0.000 0.500 0.500
Tm1 Tm 0.000 0.167 0.500
S1 S 0.238 0.000 0.725
S2 S 0.243 0.332 0.725
# * total magnetic moment: 0.000 Bohr magnetons per cell
# * total energy: -0.3951 Ry per atom
# * ΔE_f (raw): -1853 meV per atom

---

# NaDy4TmS8 (PBE-GGA, optimized geometry)
data_NaDy4TmS8
_cell_length_a 8.0923
_cell_length_b 8.0923
_cell_length_c 19.7023
_cell_angle_alpha 90.00
_cell_angle_beta 90.00
_cell_angle_gamma 120.00
_symmetry_space_group_name_H-M 'R 3 m'
_symmetry_Int_Tables_number 160
_symmetry_space_group_name_Hall 'R 3 -2"'
loop_
_atom_site_label
_atom_site_type_symbol
_atom_site_fract_x
_atom_site_fract_y
_atom_site_fract_z
Na1 Na 0.0000 0.0000 0.0000
Dy1 Dy 0.0000 0.0000 0.2489
Dy2 Dy 0.1726 0.3453 0.4561
Tm1 Tm 0.0000 0.0000 0.6290
S1 S 0.0000 0.0000 0.3823
S2 S 0.0000 0.0000 0.8635
S3 S 0.0312 0.5156 0.3770
S4 S 0.1785 0.3570 0.2060
# * total magnetic moment: 0.000 Bohr magnetons per cell
# * total energy: -0.4445 Ry per atom
# * ΔE_f (raw): -1961 meV per atom

---

# Na4Dy3TmS8 (PBE-GGA, optimized geometry)
data_Na4Dy3TmS8
_cell_length_a 7.9431
_cell_length_b 7.9431
_cell_length_c 20.0335
_cell_angle_alpha 90.00
_cell_angle_beta 90.00
_cell_angle_gamma 120.00
_symmetry_space_group_name_H-M 'R -3 m'
_symmetry_Int_Tables_number 166
_symmetry_space_group_name_Hall '-R 3 2"'
loop_
_atom_site_label
_atom_site_type_symbol
_atom_site_fract_x
_atom_site_fract_y
_atom_site_fract_z
Na1 Na 0.0000 0.0000 0.0000
Na2 Na 0.0000 0.5000 0.0000
Dy1 Dy 0.0000 0.5000 0.5000
Tm1 Tm 0.0000 0.0000 0.5000
S1 S 0.0000 0.0000 0.2423
S2 S 0.0030 0.5015 0.2419
# * total magnetic moment: 0.000 Bohr magnetons per cell
# * total energy: -0.3959 Ry per atom
# * ΔE_f (raw): -1851 meV per atom

---

# NaDy2US6 (PBE-GGA, optimized geometry)
data_NaDy2US6
_cell_length_a 6.9173
_cell_length_b 6.9173
_cell_length_c 18.6199
_cell_angle_alpha 90.00
_cell_angle_beta 90.00
_cell_angle_gamma 120.00
_symmetry_space_group_name_H-M 'R 3'
_symmetry_Int_Tables_number 146
_symmetry_space_group_name_Hall 'R 3'
loop_
_atom_site_label
_atom_site_type_symbol
_atom_site_fract_x
_atom_site_fract_y
_atom_site_fract_z
Na1 Na 0.0000 0.0000 0.0000
Dy1 Dy 0.0000 0.0000 0.2837
Dy2 Dy 0.0000 0.0000 0.7964
U1 U 0.0000 0.0000 0.4802
S1 S 0.0234 0.3394 0.5527
S2 S 0.0293 0.7269 0.3893
# * total magnetic moment: 3.008 Bohr magnetons per cell
# * total energy: -0.4644 Ry per atom
# * ΔE_f (raw): -1661 meV per atom

---

# Na4DyU3S8 (PBE-GGA, optimized geometry)
data_Na4DyU3S8
_cell_length_a 7.9230
_cell_length_b 7.9230
_cell_length_c 20.2657
_cell_angle_alpha 90.00
_cell_angle_beta 90.00
_cell_angle_gamma 120.00
_symmetry_space_group_name_H-M 'R -3 m'
_symmetry_Int_Tables_number 166
_symmetry_space_group_name_Hall '-R 3 2"'
loop_
_atom_site_label
_atom_site_type_symbol
_atom_site_fract_x
_atom_site_fract_y
_atom_site_fract_z
Na1 Na 0.0000 0.0000 0.0000
Na2 Na 0.0000 0.5000 0.0000
Dy1 Dy 0.0000 0.0000 0.5000
U1 U 0.0000 0.5000 0.5000
S1 S 0.0000 0.0000 0.2437
S2 S 0.0009 0.5005 0.2435
# * total magnetic moment: 27.039 Bohr magnetons per cell
# * total energy: -0.4599 Ry per atom
# * ΔE_f (raw): -1460 meV per atom

---

# Na3Dy3VS8 (PBE-GGA, optimized geometry)
data_Na3Dy3VS8
_cell_length_a 7.7367
_cell_length_b 7.7367
_cell_length_c 20.2915
_cell_angle_alpha 90.00
_cell_angle_beta 90.00
_cell_angle_gamma 120.00
_symmetry_space_group_name_H-M 'R -3 m'
_symmetry_Int_Tables_number 166
_symmetry_space_group_name_Hall '-R 3 2"'
loop_
_atom_site_label
_atom_site_type_symbol
_atom_site_fract_x
_atom_site_fract_y
_atom_site_fract_z
Na1 Na 0.0000 0.5000 0.0000
Dy1 Dy 0.0000 0.5000 0.5000
V1 V 0.0000 0.0000 0.5000
S1 S 0.0000 0.0000 0.2431
S2 S 0.0317 0.5159 0.2362
# * total magnetic moment: 3.000 Bohr magnetons per cell
# * total energy: -0.4092 Ry per atom
# * ΔE_f (raw): -1574 meV per atom